No. 1
CaYMn2 | PBE | relaxed

a b c (Å): 11.1564 3.2654 5.3638
angles (deg): 90.00 107.80 90.00
With the nearest neighbours (Å) after each atom.
Space group Cm (No. 8)
Symmetry-distinct sites (fractional):
Ca  0.0000  0.0000  0.0000 (multiplicity 2)  7 Mn 3.09-3.23, 2 Ca 3.27, 2 Y 3.42-3.44
Y  0.2989  0.5000  0.3750 (multiplicity 2)  7 Mn 3.11-3.28, 2 Y 3.27, 2 Ca 3.42-3.44
Mn  0.0544  0.5000  0.5372 (multiplicity 2)  2 Mn 2.70
Mn  0.2382  0.0000  0.8207 (multiplicity 2)  2 Mn 2.70

No. 2
CaY2Mn | PBE | relaxed

Computed properties:
The value obtained for the distance to the lowest polymorph of the same formula is 0.126 eV per atom.

a b c (Å): 3.6991 5.4733 11.3488
angles (deg): 90.00 90.00 90.00
With the nearest neighbours (Å) after each atom.
Space group Imm2 (No. 44)
Symmetry-distinct sites (fractional):
Ca  0.0000  0.0000  0.0000 (multiplicity 2)  2 Mn 3.08, 4 Y 3.43
Y  0.0000  0.0000  0.4173 (multiplicity 2)  2 Mn 2.93
Y  0.0000  0.5000  0.2095 (multiplicity 2)  4 Mn 3.30, 4 Y 3.61-3.70, 2 Ca 3.63
Mn  0.0000  0.5000  0.7166 (multiplicity 2)  2 Y 2.93, 2 Ca 3.08

No. 3
CaYMn2 | PBE | relaxed

a b c (Å): 7.1619 7.1619 7.1619
angles (deg): 90.00 90.00 90.00
With the nearest neighbours (Å) after each atom.
Space group F-43m (No. 216)
Symmetry-distinct sites (fractional):
Ca  0.0000  0.0000  0.0000 (multiplicity 4)  4 Mn 3.10, 4 Y 3.10
Y  0.2500  0.2500  0.2500 (multiplicity 4)  4 Ca 3.10, 4 Mn 3.10
Mn  0.0000  0.0000  0.5000 (multiplicity 4)  4 Y 3.10, 4 Mn 3.10
Mn  0.2500  0.2500  0.7500 (multiplicity 4)  4 Mn 3.10, 4 Ca 3.10

No. 4
CaYMn2 | PBE | relaxed

a b c (Å): 4.4059 4.4059 9.4603
angles (deg): 90.00 90.00 90.00
With the nearest neighbours (Å) after each atom.
Space group I-4m2 (No. 119)
Symmetry-distinct sites (fractional):
Ca  0.0000  0.0000  0.0000 (multiplicity 2)  8 Mn 3.12-3.23, 4 Y 3.23
Y  0.0000  0.5000  0.2500 (multiplicity 2)  8 Mn 3.12-3.23, 4 Ca 3.23
Mn  0.0000  0.0000  0.5000 (multiplicity 2)  4 Ca 3.12, 4 Mn 3.23, 4 Y 3.23
Mn  0.0000  0.5000  0.7500 (multiplicity 2)  4 Y 3.12, 4 Mn 3.23, 4 Ca 3.23

No. 5
CaYMn2 | PBE | relaxed

a b c (Å): 9.8099 3.3257 6.4261
angles (deg): 90.00 101.67 90.00
With the nearest neighbours (Å) after each atom.
Space group C2/m (No. 12)
Symmetry-distinct sites (fractional):
Ca  0.0000  0.0000  0.0000 (multiplicity 2)  6 Mn 3.33-3.52, 2 Ca 3.33, 4 Y 3.62
Y  0.0000  0.5000  0.5000 (multiplicity 2)  6 Mn 2.90-2.99
Mn  0.2497  0.0000  0.6761 (multiplicity 4)  2 Mn 2.81, 3 Y 2.90-2.99

No. 6
Ca2YMn2 | PBE | relaxed

Computed properties:
The value obtained for the distance to the lowest polymorph of the same formula is 0.030 eV per atom.

a b c (Å): 3.2529 3.2529 22.8047
angles (deg): 90.00 90.00 90.00
With the nearest neighbours (Å) after each atom.
Space group I4/mmm (No. 139)
Symmetry-distinct sites (fractional):
Ca  0.0000  0.0000  0.1357 (multiplicity 4)  4 Mn 3.07, 4 Ca 3.25
Y  0.0000  0.0000  0.5000 (multiplicity 2)  4 Y 3.25
Mn  0.0000  0.5000  0.2500 (multiplicity 4)  4 Mn 2.30

No. 7
CaYMn2 | PBE | relaxed

a b c (Å): 3.4563 5.0970 10.6830
angles (deg): 90.00 90.00 90.00
With the nearest neighbours (Å) after each atom.
Space group Imm2 (No. 44)
Symmetry-distinct sites (fractional):
Ca  0.0000  0.0000  0.0000 (multiplicity 2)  6 Mn 3.12-3.30, 2 Y 3.37, 2 Ca 3.46
Y  0.0000  0.5000  0.2065 (multiplicity 2)  6 Mn 3.14-3.21, 2 Ca 3.37, 2 Y 3.46
Mn  0.0000  0.0000  0.4528 (multiplicity 2)  2 Mn 2.66
Mn  0.0000  0.5000  0.7629 (multiplicity 2)  2 Mn 2.66

No. 8
CaY2Mn | PBE | relaxed

Computed properties:
The value obtained for the distance to the lowest polymorph of the same formula is 0.657 eV per atom.

a b c (Å): 7.5983 7.5983 10.7530
angles (deg): 90.00 90.00 90.00
With the nearest neighbours (Å) after each atom.
Space group I-42d (No. 122)
Symmetry-distinct sites (fractional):
Ca  0.0000  0.0000  0.0000 (multiplicity 4)  12 Y 4.45-4.46, 4 Mn 4.65, 4 Ca 4.65
Y  0.0009  0.2500  0.6250 (multiplicity 8)  2 Mn 2.33
Mn  0.0000  0.0000  0.5000 (multiplicity 4)  4 Y 2.33

No. 9
CaYMn4 | PBE | relaxed

a b c (Å): 7.2152 7.2152 7.2152
angles (deg): 90.00 90.00 90.00
With the nearest neighbours (Å) after each atom.
Space group F-43m (No. 216)
Symmetry-distinct sites (fractional):
Ca  0.0000  0.0000  0.0000 (multiplicity 4)  12 Mn 2.99, 4 Y 3.12
Y  0.2500  0.2500  0.2500 (multiplicity 4)  12 Mn 2.99, 4 Ca 3.12
Mn  0.1249  0.1249  0.6249 (multiplicity 16)  6 Mn 2.55

No. 10
CaYMn | PBE | relaxed

Computed properties:
The value obtained for the distance to the lowest polymorph of the same formula is 0.195 eV per atom.

a b c (Å): 3.5489 3.5489 7.8799
angles (deg): 90.00 90.00 120.00
With the nearest neighbours (Å) after each atom.
Space group P3m1 (No. 156)
Symmetry-distinct sites (fractional):
Ca  0.0000  0.0000  0.0000 (multiplicity 1)  3 Mn 3.19, 6 Ca 3.55
Y  0.3333  0.6667  0.5865 (multiplicity 1)  3 Mn 2.99
Mn  0.6667  0.3333  0.3099 (multiplicity 1)  3 Y 2.99, 3 Ca 3.19

No. 11
CaYMn2 | PBE | relaxed

a b c (Å): 3.5792 3.5792 7.4316
angles (deg): 90.00 90.00 90.00
With the nearest neighbours (Å) after each atom.
Space group P4/mmm (No. 123)
Symmetry-distinct sites (fractional):
Ca  0.0000  0.0000  0.0000 (multiplicity 1)  8 Mn 3.24, 4 Ca 3.58
Y  0.0000  0.0000  0.5000 (multiplicity 1)  8 Mn 3.04
Mn  0.5000  0.5000  0.2730 (multiplicity 2)  4 Y 3.04, 4 Ca 3.24, 1 Mn 3.37

No. 12
CaY2Mn | PBE | relaxed

Computed properties:
The value obtained for the distance to the lowest polymorph of the same formula is 0.272 eV per atom.

a b c (Å): 7.7055 7.7055 7.7055
angles (deg): 90.00 90.00 90.00
With the nearest neighbours (Å) after each atom.
Space group F-43m (No. 216)
Symmetry-distinct sites (fractional):
Ca  0.0000  0.0000  0.0000 (multiplicity 4)  4 Mn 3.34, 4 Y 3.34
Y  0.0000  0.0000  0.5000 (multiplicity 4)  4 Y 3.34, 4 Mn 3.34
Y  0.2500  0.2500  0.7500 (multiplicity 4)  4 Ca 3.34, 4 Y 3.34
Mn  0.2500  0.2500  0.2500 (multiplicity 4)  4 Y 3.34, 4 Ca 3.34

No. 13
CaY2Mn | PBE | relaxed

Computed properties:
The value obtained for the distance to the lowest polymorph of the same formula is 0.000 eV per atom.

a b c (Å): 3.5541 3.5830 9.2565
angles (deg): 90.00 90.09 90.00
With the nearest neighbours (Å) after each atom.
Space group P2/m (No. 10)
Symmetry-distinct sites (fractional):
Ca  0.0000  0.0000  0.0000 (multiplicity 1)  4 Ca 3.55-3.58, 8 Y 3.86-3.87
Y  0.4998  0.5000  0.3163 (multiplicity 2)  4 Mn 3.04, 1 Y 3.40
Mn  0.0000  0.0000  0.5000 (multiplicity 1)  8 Y 3.04

No. 14
CaYMn | PBE | relaxed

Computed properties:
The value obtained for the distance to the lowest polymorph of the same formula is 0.327 eV per atom.

a b c (Å): 7.1380 7.1380 7.1380
angles (deg): 90.00 90.00 90.00
With the nearest neighbours (Å) after each atom.
Space group F-43m (No. 216)
Symmetry-distinct sites (fractional):
Ca  0.0000  0.0000  0.0000 (multiplicity 4)  4 Mn 3.09
Y  0.0000  0.0000  0.5000 (multiplicity 4)  4 Mn 3.09
Mn  0.2500  0.2500  0.2500 (multiplicity 4)  4 Ca 3.09, 4 Y 3.09

No. 15
CaY4Mn | PBE | relaxed

a b c (Å): 9.2213 9.2213 9.2213
angles (deg): 90.00 90.00 90.00
With the nearest neighbours (Å) after each atom.
Space group F-43m (No. 216)
Symmetry-distinct sites (fractional):
Ca  0.0000  0.0000  0.0000 (multiplicity 4)  12 Y 3.83, 4 Mn 3.99
Y  0.1240  0.1240  0.3760 (multiplicity 16)  6 Y 3.23-3.29
Mn  0.2500  0.2500  0.7500 (multiplicity 4)  12 Y 3.82, 4 Ca 3.99

Calculated total energy, -6.318; -5.768; -6.180; -6.218; -6.138; -5.236; -6.297; -5.237; -7.161; -5.448; -6.335; -5.621; -5.894; -5.317; -5.650 eV per atom (same order as the records).
Calculated calculated formation energy, 383; 257; 521; 483; 563; 525; 404; 788; 363; 430; 366; 404; 131; 562; 522 meV/atom (same order as the records).